#a
Entry from OQMD: a relaxed structure of NaHfTlPt (PBE-GGA).

a = 4.8416 Å, b = 4.8416 Å, c = 4.8416 Å
α = 60.00°, β = 60.00°, γ = 60.00°
Closest atoms and distances in Å follow each position.
Sites, in units of the cell vectors:
Tl 0.0000 0.0000 0.0000  4 Hf 2.96, 4 Na 2.96
Pt 0.5000 0.5000 0.5000  4 Na 2.96, 4 Hf 2.96
Na 0.7500 0.7500 0.7500  4 Pt 2.96, 4 Tl 2.96
Hf 0.2500 0.2500 0.2500  4 Tl 2.96, 4 Pt 2.96


#b
Entry from OQMD: a relaxed structure of NaHfTlPt (PBE-GGA).

a = 4.7450 Å, b = 4.7450 Å, c = 4.7450 Å
α = 60.00°, β = 60.00°, γ = 60.00°
Closest atoms and distances in Å follow each position.
Sites, in units of the cell vectors:
Na 0.7500 0.7500 0.7500  4 Hf 2.91, 4 Tl 2.91
Hf 0.5000 0.5000 0.5000  4 Na 2.91, 4 Pt 2.91
Pt 0.2500 0.2500 0.2500  4 Hf 2.91, 4 Tl 2.91
Tl 0.0000 0.0000 0.0000  4 Na 2.91, 4 Pt 2.91


Most stable one: #b, least stable one: #a.


#a
Entry from OQMD: a relaxed structure of NaSmHf (PBE-GGA).

a = 5.1988 Å, b = 5.1988 Å, c = 5.1988 Å
α = 60.00°, β = 60.00°, γ = 60.00°
Closest atoms and distances in Å follow each position.
Sites, in units of the cell vectors:
Sm 0.7500 0.7500 0.7500  4 Hf 3.18
Na 0.2500 0.2500 0.2500  4 Hf 3.18
Hf 0.0000 0.0000 0.0000  4 Sm 3.18, 4 Na 3.18


#b
Entry from OQMD: a relaxed structure of NaSmHf (PBE-GGA).

a = 5.1919 Å, b = 5.1919 Å, c = 5.1919 Å
α = 60.00°, β = 60.00°, γ = 60.00°
Closest atoms and distances in Å follow each position.
Sites, in units of the cell vectors:
Hf 0.2500 0.2500 0.2500  4 Sm 3.18
Sm 0.0000 0.0000 0.0000  4 Na 3.18, 4 Hf 3.18
Na 0.7500 0.7500 0.7500  4 Sm 3.18


Most stable one: #a, least stable one: #b.


#a
Entry from OQMD: a relaxed structure of HfPaNb (PBE-GGA).

a = 4.7411 Å, b = 4.7411 Å, c = 4.7411 Å
α = 60.00°, β = 60.00°, γ = 60.00°
Closest atoms and distances in Å follow each position.
Sites, in units of the cell vectors:
Nb 0.0000 0.0000 0.0000  4 Hf 2.90, 4 Pa 2.90
Hf 0.2500 0.2500 0.2500  4 Nb 2.90
Pa 0.7500 0.7500 0.7500  4 Nb 2.90


#b
Entry from OQMD: a relaxed structure of HfPaNb (PBE-GGA).

a = 4.7206 Å, b = 4.7206 Å, c = 4.7206 Å
α = 60.00°, β = 60.00°, γ = 60.00°
Closest atoms and distances in Å follow each position.
Sites, in units of the cell vectors:
Nb 0.7500 0.7500 0.7500  4 Pa 2.89
Pa 0.0000 0.0000 0.0000  4 Hf 2.89, 4 Nb 2.89
Hf 0.2500 0.2500 0.2500  4 Pa 2.89


Most stable one: #a, least stable one: #b.